Record 1
First-principles (PBEsol) data for a geometry-optimized InAgP2 structure, as listed in Alexandria.

```
8
Lattice="3.562 0.000 0.000 -1.781 3.085 0.000 0.000 0.000 15.901" Properties=species:S:1:pos:R:3 pbc="T T T"
In 0.000 0.000 0.000
In 0.000 0.000 7.950
Ag 0.000 2.056 3.975
Ag 1.781 1.028 11.926
P 0.000 2.056 1.636
P 0.000 2.056 6.314
P 1.781 1.028 9.587
P 1.781 1.028 14.265
```

Properties
magnetization = 0.0 μB/f.u.
energy of formation = 423 meV per atom

***

Record 2
First-principles (PBEsol) data for a geometry-optimized W3Cl structure, as listed in Alexandria.

```
4
Lattice="3.987 0.000 0.000 0.000 3.987 0.000 0.000 0.000 3.987" Properties=species:S:1:pos:R:3 pbc="T T T"
W 0.000 0.000 1.994
W 0.000 1.994 0.000
W 1.994 0.000 0.000
Cl 1.994 1.994 1.994
```

Properties
magnetization = 0.0 μB/f.u.
formation energy without anion corrections = 1.47 eV/atom

***

Record 3
First-principles (PBEsol) data for a geometry-optimized Zr2TaRu structure, as listed in Alexandria.

```
4
Lattice="3.231 0.000 0.000 0.000 3.231 0.000 0.000 0.000 6.977" Properties=species:S:1:pos:R:3 pbc="T T T"
Zr 0.000 0.000 1.613
Zr 0.000 0.000 5.364
Ta 1.616 1.616 3.488
Ru 1.616 1.616 0.000
```

Properties
distance to the lowest polymorph of the same formula = 0.04 eV per formula unit
magnetization = 0.0 μB/f.u.
energy of formation = -230 meV per atom

***

Record 4
First-principles (PBEsol) data for a geometry-optimized RbYTe2 structure, as listed in Alexandria.

```
8
Lattice="4.435 0.000 0.000 -2.218 3.841 0.000 0.000 0.000 16.835" Properties=species:S:1:pos:R:3 pbc="T T T"
Rb 0.000 2.561 4.209
Rb 2.218 1.280 12.627
Y 0.000 0.000 0.000
Y 0.000 0.000 8.418
Te 0.000 2.561 10.115
Te 0.000 2.561 15.138
Te 2.218 1.280 1.697
Te 2.218 1.280 6.720
```

Properties
magnetization = 0.0 μB/f.u.
formation energy without anion corrections = -1.39 eV/atom

***

What did we get for electronic total energy? Answer: -4.047, -9.386, -10.456, -5.111 eV per atom, in the order shown.